(1)
Material: Cd12Se3O5
Method: DFT, PBE
State: optimized geometry

Unit cell a=15.0206 b=15.0206 c=15.0206 alpha=90.00 beta=90.00 gamma=90.00
With the nearest neighbours (Å) after each atom.
Space group Ia-3d (No. 230)
One atom of each set of equivalent atoms:
Cd1 0.0437 0.0611 0.6418 (multiplicity 96)  2 O 2.23-2.41
Se1 0.0000 0.2500 0.1250 (multiplicity 24)  8 Cd 2.92-3.15
O1 0.0000 0.0000 0.0000 (multiplicity 16)  6 Cd 2.41
O2 0.0000 0.2500 0.3750 (multiplicity 24)  4 Cd 2.23

Values from the calculation:
For the total magnetization, the calculation gives 0.000 μB/cell. As for the uncorrected formation energy: -0.4588 eV per atom.

---

(2)
Material: CdSeO
Method: DFT, PBE
State: optimized geometry

Unit cell a=7.0754 b=3.6321 c=9.6143 alpha=90.00 beta=106.19 gamma=90.00
With the nearest neighbours (Å) after each atom.
Space group C2/m (No. 12)
One atom of each set of equivalent atoms:
Cd1 0.1088 0.0000 0.3669 (multiplicity 4)  4 O 2.23-2.41
Se1 0.0922 0.5000 0.9229 (multiplicity 4)  1 Se 2.23
O1 0.2047 0.0000 0.6276 (multiplicity 4)  4 Cd 2.23-2.41

Values from the calculation:
For the total magnetization, the calculation gives 0.000 μB/cell. As for the uncorrected formation energy: -0.4693 eV per atom.

---

(3)
Material: Cd3SeO
Method: DFT, PBE
State: optimized geometry

Unit cell a=10.8652 b=6.0667 c=8.2787 alpha=90.00 beta=121.00 gamma=90.00
With the nearest neighbours (Å) after each atom.
Space group C2/m (No. 12)
One atom of each set of equivalent atoms:
Cd1 0.0463 0.0000 0.3343 (multiplicity 4)  2 O 2.24-2.25
Cd2 0.1975 0.2321 0.1820 (multiplicity 8)  1 O 2.21
Se1 0.0829 0.5000 0.8563 (multiplicity 4)  4 Cd 2.83-2.92
O1 0.1533 0.0000 0.6496 (multiplicity 4)  4 Cd 2.21-2.25

Values from the calculation:
Its polymorph energy (0 for the lowest one) is 0.0000 eV per atom. For the total magnetization, the calculation gives 0.000 μB/cell. As for the uncorrected formation energy: -0.5322 eV per atom.

---

(4)
Material: CdSi2SeO
Method: DFT, PBE
State: optimized geometry

Unit cell a=5.0954 b=5.0954 c=5.0274 alpha=90.00 beta=90.00 gamma=90.00
With the nearest neighbours (Å) after each atom.
Space group P4/mmm (No. 123)
One atom of each set of equivalent atoms:
Cd1 0.0000 0.0000 0.0000 (multiplicity 1)  2 Se 2.51, 4 Si 2.55
Si1 0.0000 0.5000 0.0000 (multiplicity 2)  2 Cd 2.55
Se1 0.0000 0.0000 0.5000 (multiplicity 1)  2 Cd 2.51
O1 0.5000 0.5000 0.5000 (multiplicity 1)  8 Si 3.58, 4 Se 3.60

Values from the calculation:
Its polymorph energy (0 for the lowest one) is 1.3661 eV per atom. For the total magnetization, the calculation gives 0.000 μB/cell. As for the uncorrected formation energy: 1.4912 eV per atom.

---

(5)
Material: CdSi2SeO
Method: DFT, PBE
State: optimized geometry

Unit cell a=4.0678 b=4.0678 c=5.9092 alpha=90.00 beta=90.00 gamma=90.00
With the nearest neighbours (Å) after each atom.
Space group P4/mmm (No. 123)
One atom of each set of equivalent atoms:
Cd1 0.0000 0.0000 0.0000 (multiplicity 1)  4 Se 2.88, 2 O 2.95
Si1 0.0000 0.5000 0.5000 (multiplicity 2)  2 O 2.03
Se1 0.5000 0.5000 0.0000 (multiplicity 1)  4 Cd 2.88
O1 0.0000 0.0000 0.5000 (multiplicity 1)  4 Si 2.03

Values from the calculation:
Its polymorph energy (0 for the lowest one) is 0.0000 eV per atom. For the total magnetization, the calculation gives 0.000 μB/cell. As for the uncorrected formation energy: 0.1250 eV per atom.

---

(6)
Material: CdSiSeO6
Method: DFT, PBE
State: optimized geometry

Unit cell a=4.8055 b=4.8055 c=9.9717 alpha=90.00 beta=90.00 gamma=120.00
With the nearest neighbours (Å) after each atom.
Space group P-31c (No. 163)
One atom of each set of equivalent atoms:
Cd1 0.0000 0.0000 0.0000 (multiplicity 2)  6 O 2.34
Si1 0.3333 0.6667 0.2500 (multiplicity 2)  6 O 1.80
Se1 0.3333 0.6667 0.7500 (multiplicity 2)  6 O 1.83
O1 0.0044 0.3808 0.1482 (multiplicity 12)  1 Si 1.80, 1 Se 1.83

Values from the calculation:
For the total magnetization, the calculation gives 0.000 μB/cell. As for the uncorrected formation energy: -1.3927 eV per atom.